1.
Density functional theory data (PBE-GGA) for a geometry-optimized CeCo4Ru structure.

Values from the calculation:
As for the space group: F-43m. As for the energy of formation from the pure elements: 0.02 eV/atom. For the total energy, the calculation gives -7.25 eV/atom. As for the total magnetization: 6.3 μB per cell. The calculation puts the density at 9.472 Mg/m³.

Cell and atoms, written as extended XYZ:
```
6
Lattice="0.000 3.471 3.471 3.471 0.000 3.471 3.471 3.471 0.000" Properties=species:S:1:pos:R:3 pbc="T T T"
Ce 0.000 0.000 0.000
Co 4.334 2.607 2.607
Co 2.607 4.334 2.607
Co 2.607 2.607 4.334
Co 4.334 4.334 4.334
Ru 1.735 1.735 1.735
```

=====

2.
Density functional theory data (PBE-GGA) for a geometry-optimized ZrSO7 structure.

Values from the calculation:
As for the space group: C2/c. For the total energy, the calculation gives -6.63 eV/atom. As for the total magnetization: 4.0 μB per cell. The value obtained for the uncorrected formation energy is -1188 kJ/mol of formula units. The calculation puts the density at 2.683 Mg/m³.

Cell and atoms, written as extended XYZ:
```
18
Lattice="3.323 -4.078 0.000 3.323 4.078 0.000 -1.424 0.000 10.749" Properties=species:S:1:pos:R:3 pbc="T T T"
Zr 2.255 3.288 8.062
Zr 2.967 -3.288 2.687
S 2.255 0.291 8.062
S 2.967 -0.291 2.687
O 2.246 3.664 5.678
O 2.264 3.664 10.445
O 2.967 3.042 2.687
O 1.787 0.626 2.686
O 2.252 1.181 6.868
O 2.258 1.181 9.255
O 1.075 -0.626 8.060
O 4.147 0.626 2.689
O 2.964 -1.181 1.494
O 2.970 -1.181 3.880
O 3.435 -0.626 8.063
O 2.255 -3.042 8.062
O 2.958 -3.664 0.304
O 2.976 -3.664 5.070
```

=====

3.
Density functional theory data (PBE-GGA) for a geometry-optimized RbLaSeN2 structure.

Values from the calculation:
As for the space group: P4/mmm. For the energy above the most stable polymorph in this dataset, the calculation gives 0.0 kJ/mol of formula units. For the total energy, the calculation gives -5.00 eV/atom. As for the total magnetization: 4.0 μB per cell. The value obtained for the uncorrected formation energy is 101 kJ/mol of formula units. The calculation puts the density at 3.839 Mg/m³.

Cell and atoms, written as extended XYZ:
```
5
Lattice="4.901 0.000 0.000 0.000 4.901 0.000 0.000 0.000 5.968" Properties=species:S:1:pos:R:3 pbc="T T T"
Rb 0.000 0.000 0.000
La 2.450 2.450 2.984
Se 2.450 2.450 0.000
N 0.000 2.450 2.984
N 2.450 0.000 2.984
```

=====

4.
Density functional theory data (PBE-GGA) for a geometry-optimized U6Al43W4 structure.

Values from the calculation:
As for the space group: P6_3/mcm. As for the energy of formation from the pure elements: -0.16 eV/atom. For the total energy, the calculation gives -5.45 eV/atom. As for the total magnetization: 30.2 μB per cell. The calculation puts the density at 6.000 Mg/m³.

Cell and atoms, written as extended XYZ:
```
106
Lattice="11.035 0.000 0.000 -5.518 9.557 0.000 0.000 0.000 17.445" Properties=species:S:1:pos:R:3 pbc="T T T"
U -2.632 4.559 1.527
U -2.632 4.559 7.195
U -2.886 4.998 10.250
U -2.886 4.998 15.918
U 5.264 0.000 1.527
U 5.264 0.000 7.195
U 2.632 4.559 10.250
U 2.632 4.559 15.918
U 5.771 0.000 10.250
U 5.771 0.000 15.918
U 2.886 4.998 1.527
U 2.886 4.998 7.195
Al -0.819 1.419 13.084
Al -0.897 1.553 1.982
Al -0.897 1.553 6.741
Al -1.405 2.434 9.253
Al -1.405 2.434 16.915
Al -4.113 7.123 0.530
Al -4.113 7.123 8.193
Al -4.621 8.004 10.704
Al -4.621 8.004 15.464
Al -4.698 8.138 4.361
Al -1.475 5.269 4.361
Al -1.692 5.645 13.084
Al 1.639 0.000 13.084
Al 0.819 1.419 4.361
Al -0.398 3.787 11.554
Al -0.398 3.787 14.614
Al -2.437 7.319 2.831
Al -2.437 7.319 5.891
Al 1.793 0.000 1.982
Al 1.793 0.000 6.741
Al 0.897 1.553 10.704
Al 0.897 1.553 15.464
Al 0.398 3.787 2.831
Al 0.398 3.787 5.891
Al -2.039 8.008 11.554
Al -2.039 8.008 14.614
Al 0.000 4.710 0.000
Al 0.000 4.710 8.723
Al -1.439 7.202 0.000
Al -1.439 7.202 8.723
Al 2.810 0.000 9.253
Al 2.810 0.000 16.915
Al 1.405 2.434 0.530
Al 1.405 2.434 8.193
Al 0.000 6.371 2.218
Al 0.000 6.371 6.505
Al 0.000 6.371 10.940
Al 0.000 6.371 15.227
Al 3.478 1.549 11.554
Al 3.478 1.549 14.614
Al 3.081 2.238 2.831
Al 3.081 2.238 5.891
Al 1.475 5.269 13.084
Al -0.217 8.200 4.361
Al 1.692 5.645 4.361
Al 0.217 8.200 13.084
Al 4.079 2.355 0.000
Al 4.079 2.355 8.723
Al 1.439 7.202 0.000
Al 1.439 7.202 8.723
Al 5.301 1.357 4.361
Al 3.826 3.912 13.084
Al 5.734 1.357 13.084
Al 4.042 4.288 4.361
Al 2.437 7.319 11.554
Al 2.437 7.319 14.614
Al 2.039 8.008 2.831
Al 2.039 8.008 5.891
Al 5.518 3.186 2.218
Al 5.518 3.186 6.505
Al 5.518 3.186 10.940
Al 5.518 3.186 15.227
Al 8.225 0.000 0.530
Al 8.225 0.000 8.193
Al 4.113 7.123 9.253
Al 4.113 7.123 16.915
Al 6.956 2.355 0.000
Al 6.956 2.355 8.723
Al 5.518 4.847 0.000
Al 5.518 4.847 8.723
Al 7.557 1.549 2.831
Al 7.557 1.549 5.891
Al 5.120 5.770 11.554
Al 5.120 5.770 14.614
Al 9.242 0.000 10.704
Al 9.242 0.000 15.464
Al 4.621 8.004 1.982
Al 4.621 8.004 6.741
Al 7.955 2.238 11.554
Al 7.955 2.238 14.614
Al 5.915 5.770 2.831
Al 5.915 5.770 5.891
Al 9.397 0.000 4.361
Al 4.698 8.138 13.084
Al 7.210 3.912 4.361
Al 6.993 4.288 13.084
W 0.000 0.000 0.000
W 0.000 0.000 8.723
W -1.488 2.578 4.361
W -4.029 6.979 13.084
W 2.977 0.000 4.361
W 1.488 2.578 13.084
W 8.059 0.000 13.084
W 4.029 6.979 4.361
```

=====

5.
Density functional theory data (PBE-GGA) for a geometry-optimized Nb6Tc2Mo structure.

Values from the calculation:
As for the space group: C2/m. As for the energy of formation from the pure elements: 0.25 eV/atom. For the total energy, the calculation gives -9.97 eV/atom. As for the total magnetization: 0.0 μB per cell. The calculation puts the density at 8.680 Mg/m³.

Cell and atoms, written as extended XYZ:
```
9
Lattice="5.259 -1.521 0.000 5.259 1.521 0.000 -1.895 0.000 10.157" Properties=species:S:1:pos:R:3 pbc="T T T"
Nb -0.354 0.000 2.451
Nb 1.632 0.000 6.274
Nb 2.061 0.000 9.745
Nb 6.563 0.000 0.412
Nb 6.991 0.000 3.883
Nb 8.977 0.000 7.706
Tc 2.812 0.000 1.980
Tc 5.812 0.000 8.177
Mo -0.947 0.000 5.078
```

=====

6.
Density functional theory data (PBE-GGA) for a geometry-optimized LiLaPaS4 structure.

Values from the calculation:
As for the space group: Imma. For the total energy, the calculation gives -6.41 eV/atom. As for the total magnetization: 2.0 μB per cell. The value obtained for the uncorrected formation energy is -1163 kJ/mol of formula units. The calculation puts the density at 4.913 Mg/m³.

Cell and atoms, written as extended XYZ:
```
14
Lattice="-4.307 4.562 4.344 4.307 -4.562 4.344 4.307 4.562 -4.344" Properties=species:S:1:pos:R:3 pbc="T T T"
Li 0.000 0.000 0.000
Li 0.000 4.562 0.000
La 4.307 2.281 1.410
La 0.000 2.281 2.934
Pa 2.154 2.281 -2.172
Pa 2.154 -2.281 2.172
S 4.307 -0.595 1.800
S 4.307 3.967 -1.800
S 1.641 2.281 0.444
S 2.666 -2.281 4.789
S 1.641 6.843 -0.444
S 2.666 2.281 3.900
S 0.000 0.595 6.145
S 0.000 5.157 2.544
```

=====

7.
Density functional theory data (PBE-GGA) for a geometry-optimized KZr2Pb structure.

Values from the calculation:
As for the space group: R-3m. As for the energy of formation from the pure elements: 0.43 eV/atom. For the energy above the most stable polymorph in this dataset, the calculation gives 127.0 kJ/mol of formula units. For the total energy, the calculation gives -5.04 eV/atom. As for the total magnetization: 0.0 μB per cell. The calculation puts the density at 6.260 Mg/m³.

Cell and atoms, written as extended XYZ:
```
4
Lattice="1.645 0.950 12.127 -1.645 0.950 12.127 0.000 -1.900 12.127" Properties=species:S:1:pos:R:3 pbc="T T T"
K 0.000 0.000 0.000
Zr 0.000 0.000 8.649
Zr 0.000 0.000 27.732
Pb 0.000 0.000 18.190
```

=====

8.
Density functional theory data (PBE-GGA) for a geometry-optimized Sr2LiHRh structure.

Values from the calculation:
As for the space group: P4/mmm. For the energy above the most stable polymorph in this dataset, the calculation gives 0.0 kJ/mol of formula units. For the total energy, the calculation gives -3.41 eV/atom. As for the total magnetization: 0.0 μB per cell. The calculation puts the density at 4.293 Mg/m³.

Cell and atoms, written as extended XYZ:
```
5
Lattice="5.378 0.000 0.000 0.000 5.378 0.000 0.000 0.000 3.826" Properties=species:S:1:pos:R:3 pbc="T T T"
Sr 0.000 2.689 0.000
Sr 2.689 0.000 0.000
Li 0.000 0.000 1.913
H 2.689 2.689 0.000
Rh 2.689 2.689 1.913
```

=====

9.
Density functional theory data (PBE-GGA) for a geometry-optimized AlSiTe2N structure.

Values from the calculation:
As for the space group: P4/mmm. For the energy above the most stable polymorph in this dataset, the calculation gives 0.0 kJ/mol of formula units. For the total energy, the calculation gives -4.53 eV/atom. As for the total magnetization: 0.0 μB per cell. The value obtained for the uncorrected formation energy is 108 kJ/mol of formula units. The calculation puts the density at 4.988 Mg/m³.

Cell and atoms, written as extended XYZ:
```
5
Lattice="5.754 0.000 0.000 0.000 5.754 0.000 0.000 0.000 3.261" Properties=species:S:1:pos:R:3 pbc="T T T"
Al 0.000 0.000 0.000
Si 2.877 2.877 1.630
Te 0.000 2.877 1.630
Te 2.877 0.000 1.630
N 2.877 2.877 0.000
```

=====

10.
Density functional theory data (PBE-GGA) for a geometry-optimized Ac5In2Hg2 structure.

Values from the calculation:
As for the space group: Cmce. As for the energy of formation from the pure elements: -0.34 eV/atom. For the energy above the most stable polymorph in this dataset, the calculation gives 38.5 kJ/mol of formula units. For the total energy, the calculation gives -3.30 eV/atom. As for the total magnetization: 0.0 μB per cell. The calculation puts the density at 8.856 Mg/m³.

Cell and atoms, written as extended XYZ:
```
18
Lattice="8.873 -4.419 0.000 8.873 4.419 0.000 0.000 0.000 8.445" Properties=species:S:1:pos:R:3 pbc="T T T"
Ac 0.000 0.000 0.000
Ac 6.411 2.831 5.638
Ac 6.411 1.588 1.415
Ac 11.336 2.831 5.638
Ac 11.336 1.588 1.415
Ac 8.873 0.000 4.223
Ac 6.411 -1.588 7.030
Ac 6.411 -2.831 2.807
Ac 11.336 -1.588 7.030
Ac 11.336 -2.831 2.807
In 3.734 0.000 0.000
In 5.139 0.000 4.223
In 12.608 0.000 4.223
In 14.013 0.000 0.000
Hg 8.873 3.293 3.161
Hg 8.873 1.125 7.384
Hg 8.873 -1.125 1.061
Hg 8.873 -3.293 5.284
```

=====

11.
Density functional theory data (PBE-GGA) for a geometry-optimized Cr2CuAg structure.

Values from the calculation:
As for the space group: P4mm. As for the energy of formation from the pure elements: 0.29 eV/atom. For the energy above the most stable polymorph in this dataset, the calculation gives 0.0 kJ/mol of formula units. For the total energy, the calculation gives -6.26 eV/atom. As for the total magnetization: 0.0 μB per cell. The calculation puts the density at 8.101 Mg/m³.

Cell and atoms, written as extended XYZ:
```
4
Lattice="3.085 0.000 0.000 0.000 3.085 0.000 0.000 0.000 5.933" Properties=species:S:1:pos:R:3 pbc="T T T"
Cr 0.000 0.000 0.000
Cr 1.542 1.542 1.161
Cu 0.000 0.000 2.631
Ag 1.542 1.542 4.157
```